(1)
The following is a DFT calculation (PBE-GGA) of a geometry-optimized YZn2Pt structure. Values from VASP.

```
&SYSTEM
  ibrav = 0, nat = 4, ntyp = 3
/
ATOMIC_SPECIES
Zn 65.41 Zn.upf
Pt 195.08 Pt.upf
Y 88.91 Y.upf
CELL_PARAMETERS angstrom
-0.222 1.973 4.081
-0.946 -1.986 3.969
4.224 -0.847 2.621
ATOMIC_POSITIONS crystal
Zn 0.525 0.525 0.407
Pt 0.250 0.250 0.250
Zn 0.975 0.975 0.093
Y 0.750 0.750 0.750
```

Properties
Calculated volume = 19.0 Å³ per atom
Calculated total energy = -4.360 eV per atom
SG = C2/m

---

(2)
The following is a DFT calculation (PBE-GGA) of a geometry-optimized Y2ZnPt2 structure. Values from VASP.

```
&SYSTEM
  ibrav = 0, nat = 10, ntyp = 3
/
ATOMIC_SPECIES
Pt 195.08 Pt.upf
Zn 65.41 Zn.upf
Y 88.91 Y.upf
CELL_PARAMETERS angstrom
-6.235 -4.059 1.173
4.222 -5.911 1.989
-0.077 1.163 3.617
ATOMIC_POSITIONS crystal
Pt 0.635 0.135 0.000
Pt 0.865 0.635 0.000
Zn 0.000 0.000 0.000
Pt 0.365 0.865 0.000
Y 0.831 0.331 0.500
Y 0.669 0.831 0.500
Y 0.169 0.669 0.500
Zn 0.500 0.500 0.000
Y 0.331 0.169 0.500
Pt 0.135 0.365 0.000
```

Properties
Calculated volume = 21.6 Å³ per atom
Calculated total energy = -6.251 eV per atom
SG = P4/mbm

---

(3)
The following is a DFT calculation (PBE-GGA) of a geometry-optimized Y2ZnPt structure. Values from VASP.

```
&SYSTEM
  ibrav = 0, nat = 8, ntyp = 3
/
ATOMIC_SPECIES
Y 88.91 Y.upf
Zn 65.41 Zn.upf
Pt 195.08 Pt.upf
CELL_PARAMETERS angstrom
7.654 0.000 0.000
0.000 7.654 0.000
3.827 3.827 3.517
ATOMIC_POSITIONS crystal
Y 0.646 0.125 0.250
Zn 0.250 0.750 0.500
Y 0.875 0.896 0.750
Y 0.375 0.354 0.750
Pt 0.000 0.000 0.000
Pt 0.750 0.250 0.500
Y 0.104 0.625 0.250
Zn 0.500 0.500 0.000
```

Properties
Calculated volume = 25.8 Å³ per atom
Calculated total energy = -5.430 eV per atom
SG = I-42d

---

(4)
The following is a DFT calculation (PBE-GGA) of a geometry-optimized Y2ZnPt2 structure. Values from VASP.

```
&SYSTEM
  ibrav = 0, nat = 5, ntyp = 3
/
ATOMIC_SPECIES
Pt 195.08 Pt.upf
Zn 65.41 Zn.upf
Y 88.91 Y.upf
CELL_PARAMETERS angstrom
-1.904 1.471 -3.098
-3.417 -0.510 1.858
-2.093 7.423 2.329
ATOMIC_POSITIONS crystal
Pt 0.750 0.250 0.500
Zn 0.000 0.000 0.000
Y 0.386 0.386 0.228
Y 0.614 0.614 0.772
Pt 0.250 0.750 0.500
```

Properties
Calculated volume = 23.3 Å³ per atom
Calculated total energy = -5.908 eV per atom
SG = I4/mmm

---

(5)
The following is a DFT calculation (PBE-GGA) of a geometry-optimized Y3Zn2Pt structure. Values from VASP.

```
&SYSTEM
  ibrav = 0, nat = 6, ntyp = 3
/
ATOMIC_SPECIES
Y 88.91 Y.upf
Zn 65.41 Zn.upf
Pt 195.08 Pt.upf
CELL_PARAMETERS angstrom
5.008 0.000 0.000
-2.504 4.337 0.000
0.000 0.000 6.163
ATOMIC_POSITIONS crystal
Y 0.667 0.333 0.844
Zn 0.333 0.667 0.645
Y 0.333 0.667 0.156
Y 0.000 0.000 0.500
Zn 0.667 0.333 0.355
Pt 0.000 0.000 0.000
```

Properties
Calculated volume = 22.3 Å³ per atom
Calculated total energy = -5.324 eV per atom
SG = P-3m1

---

(6)
The following is a DFT calculation (PBE-GGA) of a geometry-optimized Y4ZnPt2 structure. Values from VASP.

```
&SYSTEM
  ibrav = 0, nat = 7, ntyp = 3
/
ATOMIC_SPECIES
Pt 195.08 Pt.upf
Y 88.91 Y.upf
Zn 65.41 Zn.upf
CELL_PARAMETERS angstrom
-3.904 3.004 0.142
-3.920 -1.182 2.743
0.626 4.513 7.267
ATOMIC_POSITIONS crystal
Pt 0.249 0.249 0.253
Y 0.378 0.378 0.866
Y 0.127 0.127 0.619
Pt 0.751 0.751 0.747
Zn 0.000 0.000 0.000
Y 0.873 0.873 0.381
Y 0.622 0.622 0.134
```

Properties
Calculated volume = 24.3 Å³ per atom
Calculated total energy = -6.428 eV per atom
SG = R-3m

---

(7)
The following is a DFT calculation (PBE-GGA) of a geometry-optimized Y2ZnPt structure. Values from VASP.

```
&SYSTEM
  ibrav = 0, nat = 4, ntyp = 3
/
ATOMIC_SPECIES
Zn 65.41 Zn.upf
Pt 195.08 Pt.upf
Y 88.91 Y.upf
CELL_PARAMETERS angstrom
-4.339 0.286 -1.085
0.264 -3.299 -1.928
-1.156 -4.343 3.476
ATOMIC_POSITIONS crystal
Zn 0.000 0.701 0.474
Pt 0.500 0.550 0.774
Y 0.000 0.984 0.907
Y 0.500 0.265 0.345
```

Properties
Calculated volume = 23.0 Å³ per atom
Calculated total energy = -5.880 eV per atom
SG = Amm2

---

(8)
The following is a DFT calculation (PBE-GGA) of a geometry-optimized Y3Zn4Pt2 structure. Values from VASP.

```
&SYSTEM
  ibrav = 0, nat = 9, ntyp = 3
/
ATOMIC_SPECIES
Pt 195.08 Pt.upf
Zn 65.41 Zn.upf
Y 88.91 Y.upf
CELL_PARAMETERS angstrom
-3.751 -1.931 1.350
0.792 -3.435 4.556
-2.373 4.152 6.611
ATOMIC_POSITIONS crystal
Pt 0.403 0.930 0.264
Zn 0.284 0.386 0.047
Y 0.000 0.000 0.000
Zn 0.716 0.614 0.953
Zn 0.972 0.687 0.369
Zn 0.028 0.313 0.631
Y 0.317 0.722 0.644
Pt 0.597 0.070 0.736
Y 0.683 0.278 0.356
```

Properties
Calculated volume = 20.1 Å³ per atom
Calculated total energy = -4.809 eV per atom
SG = C2/m

---

(9)
The following is a DFT calculation (PBE-GGA) of a geometry-optimized YZn4Pt structure. Values from VASP.

```
&SYSTEM
  ibrav = 0, nat = 12, ntyp = 3
/
ATOMIC_SPECIES
Zn 65.41 Zn.upf
Pt 195.08 Pt.upf
Y 88.91 Y.upf
CELL_PARAMETERS angstrom
-2.564 2.361 -2.117
-4.998 -4.424 1.121
-0.628 2.644 7.635
ATOMIC_POSITIONS crystal
Zn 0.670 0.559 0.341
Zn 0.670 0.941 0.341
Zn 0.500 0.500 0.000
Zn 0.330 0.441 0.659
Pt 0.235 0.750 0.471
Zn 0.330 0.059 0.659
Y 0.124 0.250 0.247
Pt 0.765 0.250 0.529
Zn 0.931 0.250 0.862
Zn 0.069 0.750 0.138
Y 0.876 0.750 0.753
Zn 0.500 0.000 0.000
```

Properties
Calculated volume = 18.0 Å³ per atom
Energy above the lowest structure with this stoichiometry = 0.0 kJ per mole of atoms
SG = Cmcm

---

(10)
The following is a DFT calculation (PBE-GGA) of a geometry-optimized YZn2Pt2 structure. Values from VASP.

```
&SYSTEM
  ibrav = 0, nat = 10, ntyp = 3
/
ATOMIC_SPECIES
Pt 195.08 Pt.upf
Y 88.91 Y.upf
Zn 65.41 Zn.upf
CELL_PARAMETERS angstrom
7.329 0.000 0.000
0.000 7.329 0.000
0.000 0.000 3.334
ATOMIC_POSITIONS crystal
Pt 0.138 0.362 0.000
Pt 0.638 0.138 0.000
Y 0.000 0.000 0.000
Zn 0.345 0.155 0.500
Pt 0.862 0.638 0.000
Zn 0.155 0.655 0.500
Zn 0.655 0.845 0.500
Zn 0.845 0.345 0.500
Y 0.500 0.500 0.000
Pt 0.362 0.862 0.000
```

Properties
Calculated volume = 17.9 Å³ per atom
Energy above the lowest structure with this stoichiometry = 19.8 kJ per mole of atoms
SG = P4/mbm